Material: Dy2NpNiO8
Method: DFT, PBE+U
State: relaxed

Lattice parameters (Å, degrees): 4.4270 5.1207 7.1516 83.19 87.66 84.02
With the nearest neighbours (Å) after each atom.
Positions (direct):
Dy: 0.0805 0.0151 0.2357  6 O 2.22-2.48
Dy: 0.9195 0.9849 0.7643  6 O 2.22-2.48
Np: 0.5000 0.5000 0.5000  4 O 1.95-1.98
Ni: 0.5000 0.5000 0.0000  4 O 1.83-1.88
O: 0.1209 0.7383 0.5218  1 Np 1.98
O: 0.2037 0.7778 0.9967  1 Ni 1.83
O: 0.3636 0.3603 0.2405  1 Ni 1.88
O: 0.3862 0.2069 0.6802  1 Np 1.95
O: 0.6138 0.7931 0.3198  1 Np 1.95
O: 0.6364 0.6397 0.7595  1 Ni 1.88
O: 0.7963 0.2222 0.0033  1 Ni 1.83
O: 0.8791 0.2617 0.4782  1 Np 1.98

Output
crystal system = triclinic
density = 7.77 Mg/m³
total moment = 0.08 μB per atom
uncorrected energy = -7.890 eV per atom